DFT (PBE) results for a relaxed Cs3Bi4Au2 crystal.

Results
raw total energy	-3.014	eV/atom
total moment	0.000	μB per formula unit

Cell lengths 14.691, 4.812, 10.999 Å; angles 90.00, 102.41, 90.00 degrees
Space group C2/m (No. 12)
Unique sites:
1 Cs 0.000 0.000 0.000 (multiplicity 2)
2 Cs 0.134 0.500 0.391 (multiplicity 4)
3 Bi 0.083 0.000 0.660 (multiplicity 4)
4 Bi 0.238 0.500 0.090 (multiplicity 4)
5 Au 0.150 0.500 0.789 (multiplicity 4)